The following is a PBE-GGA calculation of an optimized crystal structure of CaZrP2, from Alexandria via LeMat-Bulk.

It has space group Imm2 (No. 44), with a = 3.4989 Å, b = 3.6464 Å, c = 13.6665 Å, α = 90.00°, β = 90.00° and γ = 90.00°. The asymmetric unit holds Ca at (0.0000, 0.0000, 0.0000), Zr at (0.0000, 0.5000, 0.2457), P at (0.0000, 0.0000, 0.6033) and P at (0.0000, 0.5000, 0.8218).

Its energy of formation is -1001 meV per atom. For the calculated density, the calculation gives 3.68 g/cm³. As for the electronic total energy: -6.343 eV/atom.



The following is a PBE-GGA calculation of an optimized crystal structure of Ca2ZrP, from Alexandria via LeMat-Bulk.

It has space group P4/mmm (No. 123), with a = 4.3521 Å, b = 4.3521 Å, c = 4.7851 Å, α = 90.00°, β = 90.00° and γ = 90.00°. The asymmetric unit holds Ca at (0.0000, 0.5000, 0.0000), Zr at (0.0000, 0.0000, 0.5000) and P at (0.5000, 0.5000, 0.5000).

Its energy of formation is -52 meV per atom. For the calculated density, the calculation gives 3.71 g/cm³. As for the electronic total energy: -4.542 eV/atom.



The following is a PBE-GGA calculation of an optimized crystal structure of CaZrP2, from Alexandria via LeMat-Bulk.

It has space group C2/m (No. 12), with a = 7.0253 Å, b = 7.2130 Å, c = 3.2673 Å, α = 90.00°, β = 106.10° and γ = 90.00°. The asymmetric unit holds Ca at (0.0000, 0.0000, 0.0000), Zr at (0.0000, 0.5000, 0.0000) and P at (0.2500, 0.2500, 0.5000).

Its energy of formation is -767 meV per atom. For the calculated density, the calculation gives 4.03 g/cm³. As for the electronic total energy: -6.109 eV/atom.



The lowest electronic total energy belongs to which entry?
number 1